Arrangement P

## Li2AgBr (PBE)

Data for crystalline Li2AgBr at its relaxed geometry.

Output
- ρ (kg/m³) = 4084
- symmetry = C2/m (12)
- total magnetization (Bohr magnetons per cell) = 0.00

Cell lengths 3.7531, 3.7531, 7.0667 Å; angles 74.70, 74.70, 59.86 degrees
Closest atoms and distances in Å follow each position.
Fractional positions:
Li  0.5056  0.5056  0.4844  3 Br 2.68, 3 Ag 2.80-2.81
Li  0.9944  0.9944  0.0156  3 Br 2.68, 3 Ag 2.80-2.81
Br  0.2500  0.2500  0.2500  6 Li 2.68
Ag  0.7500  0.7500  0.7500  6 Li 2.80-2.81


Arrangement Q

## Li2AgBr (PBE)

Data for crystalline Li2AgBr at its relaxed geometry.

Output
- ρ (kg/m³) = 4188
- symmetry = P2/m (10)
- total magnetization (Bohr magnetons per cell) = 0.00

Cell lengths 3.4301, 3.5024, 6.8950 Å; angles 74.86, 90.00, 90.00 degrees
Closest atoms and distances in Å follow each position.
Fractional positions:
Br  0.5000  0.7500  0.7500  4 Li 2.59
Ag  0.5000  0.2500  0.2500  8 Li 2.93-2.94
Li  0.0000  0.8737  0.0078  2 Br 2.59
Li  0.0000  0.6263  0.4922  2 Br 2.59


arrangement P takes first place; second place is 1.4 kJ/mol of atoms up.


Arrangement P

## Li2AgBr (PBE)

Data for crystalline Li2AgBr at its relaxed geometry.

Output
- ρ (kg/m³) = 4064
- symmetry = Fm-3m (225)
- total magnetization (Bohr magnetons per cell) = 0.00

Cell lengths 4.8842, 4.8842, 4.8842 Å; angles 60.00, 60.00, 60.00 degrees
Closest atoms and distances in Å follow each position.
Fractional positions:
Br  0.0000  0.0000  0.0000  8 Li 2.99
Li  0.7500  0.7500  0.7500  4 Ag 2.99, 4 Br 2.99
Li  0.2500  0.2500  0.2500  4 Ag 2.99, 4 Br 2.99
Ag  0.5000  0.5000  0.5000  8 Li 2.99


Arrangement Q

## Li2AgBr (PBE)

Data for crystalline Li2AgBr at its relaxed geometry.

Output
- ρ (kg/m³) = 3841
- symmetry = P4mm (99)
- total magnetization (Bohr magnetons per cell) = 0.00

Cell lengths 3.6516, 3.6516, 6.5377 Å; angles 90.00, 90.00, 90.05 degrees
Closest atoms and distances in Å follow each position.
Fractional positions:
Li  0.5000  0.5000  0.2639  1 Br 2.54, 4 Ag 2.73
Li  0.0000  0.0000  0.9603  4 Br 2.64, 1 Ag 2.88
Ag  0.0000  0.0000  0.4007  5 Li 2.73-2.88
Br  0.5000  0.5000  0.8751  5 Li 2.54-2.64


Arrangement R

## Li2AgBr (PBE)

Data for crystalline Li2AgBr at its relaxed geometry.

Output
- ρ (kg/m³) = 4446
- symmetry = P4/mmm (123)
- total magnetization (Bohr magnetons per cell) = 0.00

Cell lengths 3.3786, 3.3786, 6.5972 Å; angles 90.00, 90.00, 90.00 degrees
Closest atoms and distances in Å follow each position.
Fractional positions:
Li  0.0000  0.0000  0.5019  4 Br 2.90, 4 Ag 2.91
Li  0.0000  0.0000  0.9981  4 Br 2.90, 4 Ag 2.91
Ag  0.5000  0.5000  0.2500  8 Li 2.91
Br  0.5000  0.5000  0.7500  8 Li 2.90


arrangement Q takes first place; second place is 0.6 kJ/mol of atoms up.


Arrangement P

## LiAg2Br2 (PBE)

Data for crystalline LiAg2Br2 at its relaxed geometry.

Output
- ρ (kg/m³) = 4704
- symmetry = I4/mmm (139)
- total magnetization (Bohr magnetons per cell) = 0.00

Cell lengths 5.3526, 5.3526, 6.0442 Å; angles 63.72, 63.72, 90.00 degrees
Closest atoms and distances in Å follow each position.
Fractional positions:
Li  0.0000  0.0000  0.0000  2 Ag 3.37, 8 Br 3.57
Br  0.2500  0.7500  0.5000  4 Ag 2.86
Br  0.7500  0.2500  0.5000  4 Ag 2.86
Ag  0.3571  0.3571  0.2858  1 Ag 2.69, 4 Br 2.86
Ag  0.6429  0.6429  0.7142  1 Ag 2.69, 4 Br 2.86


Arrangement Q

## LiAg2Br2 (PBE)

Data for crystalline LiAg2Br2 at its relaxed geometry.

Output
- ρ (kg/m³) = 5262
- symmetry = P4/mbm (127)
- total magnetization (Bohr magnetons per cell) = 0.00

Cell lengths 7.7642, 7.7642, 4.0045 Å; angles 90.00, 90.00, 90.00 degrees
Closest atoms and distances in Å follow each position.
Fractional positions:
Ag  0.1233  0.3767  0.0000  1 Ag 2.71, 2 Br 2.79
Ag  0.8767  0.6233  0.0000  1 Ag 2.71, 2 Br 2.79
Ag  0.3767  0.8767  0.0000  1 Ag 2.71, 2 Br 2.79
Ag  0.6233  0.1233  0.0000  1 Ag 2.71, 2 Br 2.79
Li  0.5000  0.5000  0.0000  4 Ag 3.08, 8 Br 3.44
Li  0.0000  0.0000  0.0000  4 Ag 3.08, 8 Br 3.44
Br  0.7000  0.8000  0.5000  2 Ag 2.79
Br  0.2000  0.7000  0.5000  2 Ag 2.79
Br  0.8000  0.3000  0.5000  2 Ag 2.79
Br  0.3000  0.2000  0.5000  2 Ag 2.79


arrangement Q takes first place; second place is 2.5 kJ/mol of atoms up.